First-principles (PBE) data for crystalline CsPm6Te8 at its relaxed geometry, as listed in Alexandria.

The value obtained for the theoretical density is 5858 kg/m3. The total energy is -5.03 eV/atom. The value obtained for the formation energy (no corrections) is -1.395 eV per atom.

The space group is P-3 (No. 147) and the conventional cell measures 12.0765, 12.0765 and 4.5420 Å, with angles of 90.00, 90.00 and 120.00 degrees. The inequivalent atoms are Cs at (0.0000, 0.0000, 0.0000), Pm at (0.1367, 0.6516, 0.7506), Te at (0.0467, 0.3542, 0.7494) and Te at (0.3333, 0.6667, 0.2504).

***

First-principles (PBE) data for crystalline CsPmTe3 at its relaxed geometry, as listed in Alexandria.

The value obtained for the theoretical density is 5133 kg/m3. The total energy is -3.96 eV/atom. The value obtained for the formation energy (no corrections) is -0.952 eV per atom.

The space group is Pbcm (No. 57) and the conventional cell measures 17.189, 6.701 and 7.422 Å, with angles of 90.00, 90.00 and 90.00 degrees. The inequivalent atoms are Cs at (0.184, 0.032, 0.250), Pm at (0.418, 0.750, 0.000), Te at (0.006, 0.750, 0.000), Te at (0.301, 0.542, 0.250) and Te at (0.437, 0.120, 0.250).

***

First-principles (PBE) data for crystalline Cs3PmTh2Te6 at its relaxed geometry, as listed in Alexandria.

The value obtained for the theoretical density is 5980 kg/m3. The total energy is -4.67 eV/atom. The value obtained for the formation energy (no corrections) is -1.250 eV per atom.

The space group is C2/m (No. 12) and the conventional cell measures 7.910, 13.700 and 9.463 Å, with angles of 90.00, 106.17 and 90.00 degrees. The inequivalent atoms are Cs at (0.000, 0.000, 0.000), Cs at (0.000, 0.334, 0.000), Pm at (0.000, 0.500, 0.500), Th at (0.000, 0.167, 0.500), Te at (0.230, 0.000, 0.698) and Te at (0.234, 0.332, 0.699).

***

First-principles (PBE) data for crystalline Cs3Pm3TiTe8 at its relaxed geometry, as listed in Alexandria.

The value obtained for the theoretical density is 4967 kg/m3. The total energy is -4.54 eV/atom. The value obtained for the formation energy (no corrections) is -1.218 eV per atom.

The space group is R-3m (No. 166, hexagonal axes) and the conventional cell measures 8.9477, 8.9477 and 27.5223 Å, with angles of 90.00, 90.00 and 120.00 degrees. The inequivalent atoms are Cs at (0.0000, 0.5000, 0.0000), Pm at (0.0000, 0.5000, 0.5000), Ti at (0.0000, 0.0000, 0.5000), Te at (0.0000, 0.0000, 0.2322) and Te at (0.0299, 0.5149, 0.2268).